## BaBeCo2 (GGA-PBE)

Data for crystalline BaBeCo2 at its relaxed geometry.

Formation enthalpy at 0 K ... 0.46 eV per atom
V ... 81.11 Å³/cell
Space group ... P2/m, No. 10
N(E_F) ... 1.10 states/eV per atom

a = 3.746 Å, b = 4.111 Å, c = 5.345 Å
α = 80.20°, β = 90.00°, γ = 90.00°
Positions (direct):
1 Co 0.000 0.988 0.824
2 Co 0.000 0.512 0.676
3 Ba 0.500 0.250 0.250
4 Be 0.500 0.750 0.750



## Ba2BeCo (GGA-PBE)

Data for crystalline Ba2BeCo at its relaxed geometry.

Formation enthalpy at 0 K ... 0.38 eV per atom
V ... 276.25 Å³/cell
Space group ... I-42d, No. 122
N(E_F) ... 0.60 states/eV per atom

a = 11.351 Å, b = 11.351 Å, c = 8.308 Å
α = 46.91°, β = 46.91°, γ = 90.00°
Positions (direct):
1 Ba 0.824 0.125 0.250
2 Ba 0.926 0.625 0.250
3 Ba 0.875 0.074 0.750
4 Ba 0.375 0.176 0.750
5 Be 0.250 0.750 0.500
6 Be 0.500 0.500 0.000
7 Co 0.750 0.250 0.500
8 Co 0.000 0.000 0.000



## Ba2BeCo (GGA-PBE)

Data for crystalline Ba2BeCo at its relaxed geometry.

Formation enthalpy at 0 K ... 0.25 eV per atom
V ... 126.08 Å³/cell
Space group ... Cm, No. 8
N(E_F) ... 1.04 states/eV per atom

a = 4.111 Å, b = 4.111 Å, c = 8.944 Å
α = 76.52°, β = 76.52°, γ = 59.98°
Positions (direct):
1 Be 0.458 0.458 0.625
2 Ba 0.210 0.210 0.375
3 Ba 0.040 0.040 0.875
4 Co 0.792 0.792 0.625



## Ba2BeCo (GGA-PBE)

Data for crystalline Ba2BeCo at its relaxed geometry.

Formation enthalpy at 0 K ... 0.48 eV per atom
V ... 108.82 Å³/cell
Space group ... P4mm, No. 99
N(E_F) ... 0.91 states/eV per atom

a = 3.439 Å, b = 3.439 Å, c = 9.201 Å
α = 90.00°, β = 90.00°, γ = 90.00°
Positions (direct):
1 Ba 0.000 0.000 0.913
2 Ba 0.500 0.500 0.348
3 Co 0.500 0.500 0.642
4 Be 0.000 0.000 0.597



## BaBeCo2 (GGA-PBE)

Data for crystalline BaBeCo2 at its relaxed geometry.

Formation enthalpy at 0 K ... 0.50 eV per atom
V ... 159.17 Å³/cell
Space group ... I4_1/amd, No. 141
N(E_F) ... 1.13 states/eV per atom

a = 4.581 Å, b = 4.581 Å, c = 8.248 Å
α = 73.88°, β = 73.88°, γ = 90.00°
Positions (direct):
1 Co 0.375 0.625 0.750
2 Co 0.375 0.625 0.250
3 Co 0.875 0.625 0.750
4 Co 0.375 0.125 0.250
5 Ba 0.750 0.250 0.500
6 Ba 0.000 0.000 0.000
7 Be 0.250 0.750 0.500
8 Be 0.500 0.500 0.000